No. 1
DFT (PBE) results for a relaxed Sc4Al3Tc crystal.

abc: 3.377 3.377 13.199
angles: 90.00 90.00 90.00
Space group P4/mmm (No. 123)
Unique sites:
Sc (0.000, 0.000, 0.111) x2
Sc (0.000, 0.000, 0.371) x2
Al (0.500, 0.500, 0.240) x2
Al (0.500, 0.500, 0.500) x1
Tc (0.500, 0.500, 0.000) x1

Properties
* spin magnetization: 0.00 μB/f.u.
* ΔE_f: -434.1 meV/atom
* total DFT energy (no corrections): -50.4 eV per cell

No. 2
DFT (PBE) results for a relaxed ThScAlTc crystal.

abc: 6.984 6.984 6.984
angles: 90.00 90.00 90.00
Space group F-43m (No. 216)
Unique sites:
Th (0.000, 0.000, 0.000) x4
Sc (0.000, 0.000, 0.500) x4
Al (0.250, 0.250, 0.750) x4
Tc (0.250, 0.250, 0.250) x4

Properties
* spin magnetization: 0.00 μB/f.u.
* ΔE_f: -190.6 meV/atom
* total DFT energy (no corrections): -114.5 eV per cell

No. 3
DFT (PBE) results for a relaxed ScTiAlTc crystal.

abc: 6.439 6.439 6.439
angles: 90.00 90.00 90.00
Space group F-43m (No. 216)
Unique sites:
Sc (0.000, 0.000, 0.000) x4
Ti (0.000, 0.000, 0.500) x4
Al (0.250, 0.250, 0.250) x4
Tc (0.250, 0.250, 0.750) x4

Properties
* spin magnetization: 0.00 μB/f.u.
* ΔE_f: -400.6 meV/atom
* total DFT energy (no corrections): -119.7 eV per cell

No. 4
DFT (PBE) results for a relaxed ScAlTl2Tc crystal.

abc: 5.371 5.371 4.824
angles: 90.00 90.00 90.00
Space group P4/mmm (No. 123)
Unique sites:
Sc (0.000, 0.000, 0.000) x1
Al (0.500, 0.500, 0.000) x1
Tl (0.000, 0.500, 0.500) x2
Tc (0.000, 0.000, 0.500) x1

Properties
* spin magnetization: 0.00 μB/f.u.
* ΔE_f: 511.6 meV/atom
* total DFT energy (no corrections): -22.6 eV per cell

No. 5
DFT (PBE) results for a relaxed TmScAlTc crystal.

abc: 6.779 6.779 6.779
angles: 90.00 90.00 90.00
Space group F-43m (No. 216)
Unique sites:
Tm (0.000, 0.000, 0.000) x4
Sc (0.000, 0.000, 0.500) x4
Al (0.250, 0.250, 0.250) x4
Tc (0.250, 0.250, 0.750) x4

Properties
* spin magnetization: 0.00 μB/f.u.
* ΔE_f: -272.5 meV/atom
* total DFT energy (no corrections): -104.0 eV per cell

No. 6
DFT (PBE) results for a relaxed ScAlTcW crystal.

abc: 6.384 6.384 6.384
angles: 90.00 90.00 90.00
Space group F-43m (No. 216)
Unique sites:
Sc (0.000, 0.000, 0.000) x4
Al (0.250, 0.250, 0.750) x4
Tc (0.250, 0.250, 0.250) x4
W (0.000, 0.000, 0.500) x4

Properties
* spin magnetization: 0.00 μB/f.u.
* ΔE_f: -154.3 meV/atom
* total DFT energy (no corrections): -136.0 eV per cell

No. 7
DFT (PBE) results for a relaxed YScAlTc crystal.

abc: 6.838 6.838 6.838
angles: 90.00 90.00 90.00
Space group F-43m (No. 216)
Unique sites:
Y (0.000, 0.000, 0.000) x4
Sc (0.000, 0.000, 0.500) x4
Al (0.250, 0.250, 0.750) x4
Tc (0.250, 0.250, 0.250) x4

Properties
* spin magnetization: 0.00 μB/f.u.
* ΔE_f: -228.6 meV/atom
* total DFT energy (no corrections): -111.3 eV per cell

No. 8
DFT (PBE) results for a relaxed ScAlZnTc2 crystal.

abc: 4.593 4.593 4.622
angles: 90.00 90.00 90.00
Space group P4/mmm (No. 123)
Unique sites:
Sc (0.000, 0.000, 0.000) x1
Al (0.500, 0.500, 0.000) x1
Zn (0.000, 0.000, 0.500) x1
Tc (0.000, 0.500, 0.500) x2

Properties
* spin magnetization: 1.76 μB/f.u.
* ΔE_f: 968.7 meV/atom
* total DFT energy (no corrections): -27.2 eV per cell

No. 9
DFT (PBE) results for a relaxed ScAl2Te6 crystal.

abc: 14.602 11.938 7.696
angles: 90.00 105.00 90.00
Space group C2/c (No. 15)
Unique sites:
Sc (0.000, 0.084, 0.250) x4
Al (0.228, 0.406, 0.336) x8
Te (0.091, 0.110, 0.629) x8
Te (0.160, 0.216, 0.170) x8
Te (0.164, 0.413, 0.636) x8

Properties
* energy relative to the elements, uncorrected: -0.4454 eV per atom
* spin magnetization: 0.00 μB/f.u.
* total DFT energy (no corrections): -146.7 eV per cell

No. 10
DFT (PBE) results for a relaxed ScAlTe crystal.

abc: 3.7276 3.7276 6.1547
angles: 90.00 90.00 120.00
Space group P3m1 (No. 156)
Unique sites:
Sc (0.0000, 0.0000, 0.0000) x1
Al (0.3333, 0.6667, 0.6533) x1
Te (0.6667, 0.3333, 0.3170) x1

Properties
* energy relative to the elements, uncorrected: -0.2743 eV per atom
* spin magnetization: 0.00 μB/f.u.
* total DFT energy (no corrections): -14.0 eV per cell

No. 11
DFT (PBE) results for a relaxed ScAlTe crystal.

abc: 4.5508 4.5508 27.3623
angles: 90.00 90.00 120.00
Space group R-3m (No. 166, hexagonal axes)
Unique sites:
Sc (0.0000, 0.0000, 0.0583) x6
Al (0.0000, 0.0000, 0.3310) x6
Te (0.0000, 0.0000, 0.2275) x6

Properties
* energy relative to the elements, uncorrected: -0.6795 eV per atom
* spin magnetization: 0.00 μB/f.u.
* total DFT energy (no corrections): -91.5 eV per cell

No. 12
DFT (PBE) results for a relaxed Sc2Al2Te7 crystal.

abc: 8.709 12.633 7.320
angles: 90.00 109.54 90.00
Space group C2/m (No. 12)
Unique sites:
Sc (0.000, 0.192, 0.000) x4
Al (0.243, 0.000, 0.626) x4
Te (0.000, 0.500, 0.500) x2
Te (0.145, 0.000, 0.237) x4
Te (0.219, 0.184, 0.770) x8

Properties
* energy relative to the elements, uncorrected: -0.6039 eV per atom
* spin magnetization: 0.00 μB/f.u.
* total DFT energy (no corrections): -97.6 eV per cell

No. 13
DFT (PBE) results for a relaxed ScAl2Te crystal.

abc: 4.323 4.323 8.864
angles: 90.00 90.00 90.00
Space group I-4m2 (No. 119)
Unique sites:
Sc (0.000, 0.000, 0.000) x2
Al (0.000, 0.000, 0.500) x2
Al (0.000, 0.500, 0.250) x2
Te (0.000, 0.500, 0.750) x2

Properties
* energy relative to the elements, uncorrected: -0.2528 eV per atom
* spin magnetization: 0.00 μB/f.u.
* total DFT energy (no corrections): -35.9 eV per cell

No. 14
DFT (PBE) results for a relaxed ScAl2Te crystal.

abc: 5.743 8.159 3.643
angles: 90.00 90.00 90.00
Space group Cmmm (No. 65)
Unique sites:
Sc (0.000, 0.000, 0.000) x2
Al (0.250, 0.250, 0.500) x4
Te (0.000, 0.500, 0.000) x2

Properties
* energy relative to the elements, uncorrected: -0.1974 eV per atom
* spin magnetization: 0.00 μB/f.u.
* total DFT energy (no corrections): -35.5 eV per cell

No. 15
DFT (PBE) results for a relaxed ScAlTe3 crystal.

abc: 4.172 24.648 6.947
angles: 90.00 90.00 90.00
Space group Ama2 (No. 40)
Unique sites:
Sc (0.250, 0.174, 0.000) x4
Al (0.250, 0.368, 0.914) x4
Te (0.250, 0.080, 0.263) x4
Te (0.250, 0.272, 0.740) x4
Te (0.250, 0.380, 0.287) x4

Properties
* energy relative to the elements, uncorrected: -0.8325 eV per atom
* spin magnetization: 0.00 μB/f.u.
* total DFT energy (no corrections): -94.6 eV per cell

No. 16
DFT (PBE) results for a relaxed ScAlTe3 crystal.

abc: 5.296 5.296 5.296
angles: 90.00 90.00 90.00
Space group Pm-3m (No. 221)
Unique sites:
Sc (0.000, 0.000, 0.000) x1
Al (0.500, 0.500, 0.500) x1
Te (0.000, 0.500, 0.500) x3

Properties
* energy relative to the elements, uncorrected: -0.0150 eV per atom
* spin magnetization: 0.00 μB/f.u.
* total DFT energy (no corrections): -19.6 eV per cell

No. 17
DFT (PBE) results for a relaxed ScAl3Te crystal.

abc: 5.369 5.369 5.369
angles: 90.00 90.00 90.00
Space group Pm-3m (No. 221)
Unique sites:
Sc (0.000, 0.000, 0.000) x1
Al (0.000, 0.000, 0.500) x3
Te (0.500, 0.500, 0.500) x1

Properties
* energy relative to the elements, uncorrected: 0.8575 eV per atom
* spin magnetization: 1.47 μB/f.u.
* total DFT energy (no corrections): -16.4 eV per cell

No. 18
DFT (PBE) results for a relaxed ScAl2Te crystal.

abc: 3.5976 3.5976 24.8892
angles: 90.00 90.00 120.00
Space group R-3m (No. 166, hexagonal axes)
Unique sites:
Sc (0.0000, 0.0000, 0.0000) x3
Al (0.0000, 0.0000, 0.2457) x6
Te (0.0000, 0.0000, 0.5000) x3

Properties
* energy relative to the elements, uncorrected: 0.0170 eV per atom
* spin magnetization: 0.00 μB/f.u.
* total DFT energy (no corrections): -50.7 eV per cell

No. 19
DFT (PBE) results for a relaxed Sc2Al2Te crystal.

abc: 7.372 7.372 4.210
angles: 90.00 90.00 90.00
Space group P4/mbm (No. 127)
Unique sites:
Sc (0.160, 0.340, 0.000) x4
Al (0.131, 0.631, 0.500) x4
Te (0.000, 0.000, 0.000) x2

Properties
* energy relative to the elements, uncorrected: -0.3999 eV per atom
* spin magnetization: 0.00 μB/f.u.
* total DFT energy (no corrections): -50.6 eV per cell

No. 20
DFT (PBE) results for a relaxed Sc2Al2Te crystal.

abc: 4.590 4.590 11.730
angles: 90.00 90.00 90.00
Space group I4/mmm (No. 139)
Unique sites:
Sc (0.000, 0.500, 0.250) x4
Al (0.000, 0.000, 0.104) x4
Te (0.000, 0.000, 0.500) x2

Properties
* energy relative to the elements, uncorrected: 0.1123 eV per atom
* spin magnetization: 0.00 μB/f.u.
* total DFT energy (no corrections): -45.5 eV per cell

No. 21
DFT (PBE) results for a relaxed ScAl3Te crystal.

abc: 5.235 5.235 5.235
angles: 90.00 90.00 90.00
Space group Pm-3m (No. 221)
Unique sites:
Sc (0.000, 0.000, 0.000) x1
Al (0.000, 0.500, 0.500) x3
Te (0.500, 0.500, 0.500) x1

Properties
* energy relative to the elements, uncorrected: 0.8618 eV per atom
* spin magnetization: 0.00 μB/f.u.
* total DFT energy (no corrections): -16.4 eV per cell

No. 22
DFT (PBE) results for a relaxed ScAlTe3 crystal.

abc: 5.585 5.585 5.585
angles: 90.00 90.00 90.00
Space group Pm-3m (No. 221)
Unique sites:
Sc (0.000, 0.000, 0.000) x1
Al (0.500, 0.500, 0.500) x1
Te (0.000, 0.000, 0.500) x3

Properties
* energy relative to the elements, uncorrected: -0.1246 eV per atom
* spin magnetization: 0.00 μB/f.u.
* total DFT energy (no corrections): -20.1 eV per cell

No. 23
DFT (PBE) results for a relaxed Sc3AlTe crystal.

abc: 5.108 5.108 5.108
angles: 90.00 90.00 90.00
Space group Pm-3m (No. 221)
Unique sites:
Sc (0.000, 0.000, 0.500) x3
Al (0.000, 0.000, 0.000) x1
Te (0.500, 0.500, 0.500) x1

Properties
* energy relative to the elements, uncorrected: -0.0226 eV per atom
* spin magnetization: 0.00 μB/f.u.
* total DFT energy (no corrections): -26.0 eV per cell

No. 24
DFT (PBE) results for a relaxed ScAl2Te crystal.

abc: 4.160 4.160 4.827
angles: 90.00 90.00 90.00
Space group P4/mmm (No. 123)
Unique sites:
Sc (0.000, 0.000, 0.000) x1
Al (0.000, 0.500, 0.500) x2
Te (0.500, 0.500, 0.000) x1

Properties
* energy relative to the elements, uncorrected: -0.2201 eV per atom
* spin magnetization: 0.00 μB/f.u.
* total DFT energy (no corrections): -17.8 eV per cell

No. 25
DFT (PBE) results for a relaxed ScAlTe3 crystal.

abc: 7.939 11.344 7.236
angles: 90.00 90.00 90.00
Space group Pnma (No. 62)
Unique sites:
Sc (0.000, 0.000, 0.000) x4
Al (0.178, 0.250, 0.464) x4
Te (0.015, 0.250, 0.135) x4
Te (0.180, 0.058, 0.659) x8

Properties
* energy relative to the elements, uncorrected: -0.7116 eV per atom
* spin magnetization: 0.00 μB/f.u.
* total DFT energy (no corrections): -92.2 eV per cell

No. 26
DFT (PBE) results for a relaxed ScAl2Te crystal.

abc: 4.058 4.058 10.176
angles: 90.00 90.00 90.00
Space group I4/mmm (No. 139)
Unique sites:
Sc (0.000, 0.000, 0.000) x2
Al (0.000, 0.500, 0.250) x4
Te (0.000, 0.000, 0.500) x2

Properties
* energy relative to the elements, uncorrected: -0.3119 eV per atom
* spin magnetization: 0.00 μB/f.u.
* total DFT energy (no corrections): -36.4 eV per cell

No. 27
DFT (PBE) results for a relaxed ScAl2Te crystal.

abc: 3.812 3.938 5.670
angles: 90.00 92.31 90.00
Space group P2/m (No. 10)
Unique sites:
Sc (0.000, 0.000, 0.000) x1
Al (0.495, 0.500, 0.764) x2
Te (0.000, 0.000, 0.500) x1

Properties
* energy relative to the elements, uncorrected: -0.1935 eV per atom
* spin magnetization: 0.00 μB/f.u.
* total DFT energy (no corrections): -17.7 eV per cell